# InSi3F | the Alexandria database | PBE-GGA | optimized geometry
data_InSi3F
_chemical_formula_sum 'In1 Si3 F1'
_cell_length_a 4.525
_cell_length_b 4.525
_cell_length_c 4.525
_cell_angle_alpha 90.00
_cell_angle_beta 90.00
_cell_angle_gamma 90.00
_space_group_name_H-M_alt 'P m -3 m'
_space_group_IT_number 221
_space_group_name_Hall '-P 4 2 3'
loop_
_atom_site_label
_atom_site_type_symbol
_atom_site_fract_x
_atom_site_fract_y
_atom_site_fract_z
In1 In 0.000 0.000 0.000
Si1 Si 0.000 0.500 0.500
F1 F 0.500 0.500 0.500
# Formation energy from raw total energies = 0.377 eV per atom
# E above lowest polymorph = 0.0000 eV/atom